{"formula": "Y3HPb", "functional": "PBE-GGA", "state": "relaxed", "lattice_angstrom": [[3.256, -5.664, 0.000], [3.256, 5.664, 0.000], [0.000, 0.000, 6.975]], "species": ["Pb", "Pb", "Y", "Y", "Y", "Y", "Y", "Y", "H", "H"], "frac_coords": [[0.496, 0.504, 0.250], [0.504, 0.496, 0.750], [0.495, 0.002, 0.250], [0.998, 0.505, 0.250], [0.002, 0.495, 0.750], [0.505, 0.998, 0.750], [0.000, 0.000, 0.000], [0.000, 0.000, 0.500], [0.116, 0.884, 0.250], [0.884, 0.116, 0.750]], "sg": "Cmcm", "dft_energy_ev_per_cell": -55.33, "polymorph_energy_mev_per_atom": 218.0}

***

{"formula": "SrZnGa2Pt2", "functional": "PBE-GGA", "state": "relaxed", "lattice_angstrom": [[4.367, 0.000, 0.000], [-2.183, 3.782, 0.000], [0.000, 0.000, 7.248]], "species": ["Sr", "Zn", "Ga", "Ga", "Pt", "Pt"], "frac_coords": [[0.000, 0.000, 0.000], [0.000, 0.000, 0.500], [0.667, 0.333, 0.307], [0.333, 0.667, 0.693], [0.667, 0.333, 0.680], [0.333, 0.667, 0.320]], "sg": "P-3m1", "ef_ev_per_atom": -0.73, "dft_energy_ev_per_cell": -25.45}

***

{"formula": "Pa2CS2", "functional": "PBE-GGA", "state": "relaxed", "lattice_angstrom": [[3.714, 0.000, 0.693], [1.805, 3.259, 0.627], [0.029, -0.013, 10.139]], "species": ["Pa", "Pa", "C", "S", "S"], "frac_coords": [[0.718, 0.203, 0.362], [0.282, 0.797, 0.638], [0.000, 0.500, 0.500], [0.444, 0.911, 0.201], [0.556, 0.089, 0.799]], "sg": "C2/m", "e_form_raw_ev_per_atom": -1.090, "dft_energy_ev_per_cell": -41.92}

***

{"formula": "MgSi", "functional": "PBE-GGA", "state": "relaxed", "lattice_angstrom": [[-4.174, -1.938, -1.711], [-0.665, -1.022, 2.781], [-1.349, 4.525, 1.341]], "species": ["Mg", "Mg", "Si", "Si"], "frac_coords": [[0.786, 0.500, 0.714], [0.214, 0.500, 0.286], [0.699, 0.000, 0.199], [0.301, 0.000, 0.801]], "sg": "Cmmm", "e_form_raw_ev_per_atom": 0.060, "dft_energy_ev_per_cell": -13.80}

***

Looking at DOS at the Fermi energy for the records above, in order, we have 5.86, 2.18, 2.26, 0.61 states/eV/f.u..